(1)
Material: Dy2SnIr
Method: DFT, PBE
State: optimized geometry

Cell: 3.456 3.456 7.925 Å, 90.00 90.00 90.00°
Fractional coordinates of all 4 atoms:
Dy (0.000, 0.000, 0.211)
Dy (0.000, 0.000, 0.789)
Sn (0.500, 0.500, 0.500)
Ir (0.500, 0.500, 0.000)

Properties
As for the relative energy among the computed polymorphs: 45.2 meV/atom. As for the space-group type: P4/mmm.

(2)
Material: Te2RhPbN
Method: DFT, PBE
State: optimized geometry

Cell: 5.686 5.686 3.705 Å, 90.00 90.00 90.00°
Fractional coordinates of all 5 atoms:
Te (0.000, 0.500, 0.000)
Te (0.500, 0.000, 0.000)
Rh (0.000, 0.000, 0.000)
Pb (0.500, 0.500, 0.500)
N (0.000, 0.000, 0.500)

Properties
As for the relative energy among the computed polymorphs: 0.0 meV/atom. As for the space-group type: P4/mmm. Its uncorrected formation energy is 206 meV per atom.

(3)
Material: SmDyTiIn
Method: DFT, PBE
State: optimized geometry

Cell: 7.494 7.494 7.494 Å, 90.00 90.00 90.00°
Fractional coordinates of all 16 atoms:
Sm (0.000, 0.000, 0.000)
Sm (0.000, 0.500, 0.500)
Sm (0.500, 0.000, 0.500)
Sm (0.500, 0.500, 0.000)
Dy (0.000, 0.000, 0.500)
Dy (0.000, 0.500, 0.000)
Dy (0.500, 0.000, 0.000)
Dy (0.500, 0.500, 0.500)
Ti (0.250, 0.250, 0.750)
Ti (0.250, 0.750, 0.250)
Ti (0.750, 0.250, 0.250)
Ti (0.750, 0.750, 0.750)
In (0.250, 0.250, 0.250)
In (0.250, 0.750, 0.750)
In (0.750, 0.250, 0.750)
In (0.750, 0.750, 0.250)

Properties
As for the space-group type: F-43m.

(4)
Material: Al2HBr8
Method: DFT, PBE
State: optimized geometry

Cell: 8.073 8.073 7.572 Å, 103.85 103.85 65.94°
Fractional coordinates of all 11 atoms:
Al (0.221, 0.221, 0.319)
Al (0.779, 0.779, 0.681)
H (0.000, 0.000, 0.000)
Br (0.083, 0.700, 0.842)
Br (0.228, 0.228, 0.628)
Br (0.300, 0.917, 0.158)
Br (0.378, 0.378, 0.267)
Br (0.622, 0.622, 0.733)
Br (0.700, 0.083, 0.842)
Br (0.772, 0.772, 0.372)
Br (0.917, 0.300, 0.158)

Properties
As for the space-group type: C2/m.

(5)
Material: K2AsPt
Method: DFT, PBE
State: optimized geometry

Cell: 3.127 5.134 5.820 Å, 90.00 90.00 90.00°
Fractional coordinates of all 4 atoms:
K (0.000, 0.000, 0.249)
K (0.000, 0.000, 0.751)
As (0.500, 0.500, 0.500)
Pt (0.500, 0.500, 0.000)

Properties
As for the space-group type: Pmmm.

(6)
Material: NdY5Er2
Method: DFT, PBE
State: optimized geometry

Cell: 7.142 14.293 5.032 Å, 90.00 90.00 90.00°
Fractional coordinates of all 16 atoms:
Nd (0.000, 0.000, 0.000)
Nd (0.500, 0.500, 0.000)
Y (0.000, 0.250, 0.000)
Y (0.000, 0.500, 0.000)
Y (0.000, 0.750, 0.000)
Y (0.250, 0.126, 0.500)
Y (0.250, 0.626, 0.500)
Y (0.500, 0.000, 0.000)
Y (0.500, 0.250, 0.000)
Y (0.500, 0.750, 0.000)
Y (0.750, 0.374, 0.500)
Y (0.750, 0.874, 0.500)
Er (0.250, 0.374, 0.500)
Er (0.250, 0.874, 0.500)
Er (0.750, 0.126, 0.500)
Er (0.750, 0.626, 0.500)

Properties
As for the relative energy among the computed polymorphs: 0.0 meV/atom. As for the space-group type: Pbam.

(7)
Material: KCaS3
Method: DFT, PBE
State: optimized geometry

Cell: 5.381 5.381 5.381 Å, 90.00 90.00 90.00°
Fractional coordinates of all 5 atoms:
K (0.000, 0.000, 0.000)
Ca (0.500, 0.500, 0.500)
S (0.000, 0.000, 0.500)
S (0.000, 0.500, 0.000)
S (0.500, 0.000, 0.000)

Properties
As for the relative energy among the computed polymorphs: 742.7 meV/atom. As for the space-group type: Pm-3m. Its uncorrected formation energy is 203 meV per atom.

(8)
Material: TcNiHgBr2
Method: DFT, PBE
State: optimized geometry

Cell: 5.506 5.506 5.519 Å, 90.00 90.00 90.00°
Fractional coordinates of all 5 atoms:
Tc (0.000, 0.000, 0.000)
Ni (0.500, 0.500, 0.000)
Hg (0.000, 0.000, 0.500)
Br (0.000, 0.500, 0.500)
Br (0.500, 0.000, 0.500)

Properties
As for the space-group type: P4/mmm. Its uncorrected formation energy is 1535 meV per atom.

no.,VASP energy (eV per atom),N(E_F) (states/eV/f.u.)
1,-6.27,2.9
2,-4.93,4.2
3,-5.07,5.3
4,-2.81,10.2
5,-3.18,2.2
6,-5.75,10.2
7,-2.89,3.4
8,-2.42,9.4